1.
A relaxed structure of Zr3Zn. Source: the Alexandria database, functional PBE.

Results
E_tot ... -6.608 eV per atom
Crystal system ... orthorhombic
DFT formation energy ... 0.121 eV per atom

Cell lengths 3.0187, 3.0686, 9.5497 Å; angles 90.00, 90.00, 90.00 degrees
Fractional coordinates of all 4 atoms:
Zr1 0.0000 0.0000 0.0000
Zr2 0.0000 0.5000 0.2960
Zr3 0.5000 0.5000 0.7598
Zn1 0.5000 0.0000 0.4985

***

2.
A relaxed structure of BaMgIn2. Source: the Alexandria database, functional PBE.

Results
E_tot ... -2.483 eV per atom
Crystal system ... trigonal
DFT formation energy ... -0.235 eV per atom

Cell lengths 5.2581, 5.2581, 11.1978 Å; angles 90.00, 90.00, 120.00 degrees
Fractional coordinates of all 8 atoms:
Ba1 0.0000 0.0000 0.1929
Ba2 0.0000 0.0000 0.8071
Mg1 0.3333 0.6667 0.5888
Mg2 0.6667 0.3333 0.4112
In1 0.3333 0.6667 0.0324
In2 0.3333 0.6667 0.3318
In3 0.6667 0.3333 0.6682
In4 0.6667 0.3333 0.9676

***

3.
A relaxed structure of Tb3Pu3CuS8. Source: the Alexandria database, functional PBE.

Results
E_tot ... -7.926 eV per atom
Uncorrected formation energy ... -1659 meV/atom
Crystal system ... monoclinic

Cell lengths 7.8081, 7.8081, 7.8089 Å; angles 119.78, 119.78, 60.23 degrees
Fractional coordinates of all 15 atoms:
Tb1 0.0000 0.0000 0.0000
Tb2 0.0000 0.5000 0.5000
Tb3 0.5000 0.0000 0.5000
Pu1 0.0000 0.5000 0.0000
Pu2 0.5000 0.0000 0.0000
Pu3 0.5000 0.5000 0.5000
Cu1 0.5000 0.5000 0.0000
S1 0.2498 0.2498 0.2503
S2 0.2558 0.7434 0.7566
S3 0.2566 0.7442 0.2434
S4 0.2580 0.2580 0.7571
S5 0.7420 0.7420 0.2429
S6 0.7434 0.2558 0.7566
S7 0.7442 0.2566 0.2434
S8 0.7502 0.7502 0.7497

***

4.
A relaxed structure of CrCd. Source: the Alexandria database, functional PBE.

Results
E_tot ... -4.696 eV per atom
Crystal system ... orthorhombic
DFT formation energy ... 0.573 eV per atom

Cell lengths 7.9950, 2.9145, 6.0945 Å; angles 90.00, 90.00, 90.00 degrees
Fractional coordinates of all 8 atoms:
Cr1 0.0133 0.2500 0.1221
Cr2 0.4867 0.7500 0.6221
Cr3 0.5133 0.2500 0.3779
Cr4 0.9867 0.7500 0.8779
Cd1 0.1808 0.2500 0.5611
Cd2 0.3192 0.7500 0.0611
Cd3 0.6808 0.2500 0.9389
Cd4 0.8192 0.7500 0.4389

***

5.
A relaxed structure of ReBrCl2. Source: the Alexandria database, functional PBE.

Results
E_tot ... -3.153 eV per atom
Uncorrected formation energy ... 1300 meV/atom
Crystal system ... orthorhombic

Cell lengths 5.2278, 5.2278, 3.1979 Å; angles 90.00, 90.00, 108.89 degrees
Fractional coordinates of all 4 atoms:
Re1 0.0000 0.0000 0.0000
Br1 0.5000 0.5000 0.0000
Cl1 0.0000 0.5000 0.5000
Cl2 0.5000 0.0000 0.5000

***

6.
A relaxed structure of Li3In. Source: the Alexandria database, functional PBE.

Results
E_tot ... -2.296 eV per atom
Crystal system ... orthorhombic
DFT formation energy ... -0.176 eV per atom

Cell lengths 2.9792, 4.5014, 5.8387 Å; angles 90.00, 90.00, 90.00 degrees
Fractional coordinates of all 4 atoms:
Li1 0.0000 0.0000 0.0000
Li2 0.5000 0.5000 0.2615
Li3 0.5000 0.5000 0.7385
In1 0.0000 0.0000 0.5000